Entry 1:
# LaSe2BrN

A relaxed LaSe2BrN crystal (PBE-GGA, the Alexandria database).

Summary:
energy relative to the elements, uncorrected	-0.27	eV per atom
N(E_F)	0.069	states/eV/atom
ΔE to the lowest computed polymorph	0	meV/atom
space group	P4/mmm (123)

Geometry as POSCAR:
```
LaSe2BrN
1.0
-3.408 -2.628 2.056
2.980 -1.075 3.566
-1.420 3.625 2.280
N Se Br La
1 2 1 1
Cartesian
0.000 0.000 0.000 N
1.490 -0.537 1.783 Se
-1.704 -1.314 1.028 Se
-0.710 1.812 1.140 Br
-0.924 -0.039 3.951 La
```

Entry 2:
# LaSe2BrN

A relaxed LaSe2BrN crystal (PBE-GGA, the Alexandria database).

Summary:
energy relative to the elements, uncorrected	0.28	eV per atom
N(E_F)	0.440	states/eV/atom
ΔE to the lowest computed polymorph	552	meV/atom
space group	P4/mmm (123)

Geometry as POSCAR:
```
LaSe2BrN
1.0
5.228 0.000 0.000
0.000 5.228 0.000
0.000 0.000 4.117
N Se Br La
1 2 1 1
Cartesian
0.000 0.000 2.059 N
0.000 2.614 0.000 Se
2.614 0.000 0.000 Se
0.000 0.000 0.000 Br
2.614 2.614 2.059 La
```

Entry 3:
# La6Si2Br3N

A relaxed La6Si2Br3N crystal (PBE-GGA, the Alexandria database).

Summary:
energy relative to the elements, uncorrected	-1.22	eV per atom
N(E_F)	0.485	states/eV/atom
space group	C2/m (12)

Geometry as POSCAR:
```
La6Si2Br3N
1.0
7.191 0.004 0.001
-3.590 6.231 0.001
-1.200 -2.078 7.591
La Si Br N
6 2 3 1
Cartesian
3.496 2.260 6.086 La
2.508 4.342 1.525 La
-1.096 1.896 1.506 La
0.210 4.157 6.086 La
-0.107 -0.186 6.068 La
2.190 -0.001 1.506 La
0.013 4.150 0.001 Si
3.588 2.085 0.001 Si
-2.304 4.102 3.796 Br
4.704 0.054 3.796 Br
1.200 2.078 3.796 Br
0.000 0.000 0.000 N
```

Entry 4:
# LaSmBrN

A relaxed LaSmBrN crystal (PBE-GGA, the Alexandria database).

Summary:
energy relative to the elements, uncorrected	-1.43	eV per atom
N(E_F)	0.185	states/eV/atom
space group	Cm (8)

Geometry as POSCAR:
```
LaSmBrN
1.0
3.721 -0.008 -0.001
-1.866 3.230 0.000
-1.860 -1.072 7.501
La Sm Br N
1 1 1 1
Cartesian
0.351 -0.238 5.153 La
-1.516 2.994 0.343 Sm
2.211 0.835 2.620 Br
-1.514 0.842 6.656 N
```

Entry 5:
# La2SmBr2N2

A relaxed La2SmBr2N2 crystal (PBE-GGA, the Alexandria database).

Summary:
energy relative to the elements, uncorrected	-1.37	eV per atom
N(E_F)	0.258	states/eV/atom
space group	I4/mmm (139)

Geometry as POSCAR:
```
La2SmBr2N2
1.0
-4.137 -1.969 -0.648
0.970 -3.117 3.280
-1.657 7.490 4.342
La Sm Br N
2 1 2 2
Cartesian
-2.640 4.030 4.609 La
-2.184 -1.626 2.365 La
0.000 0.000 0.000 Sm
-1.185 1.809 2.070 Br
-3.639 0.594 4.905 Br
0.485 -1.558 1.640 N
-2.069 -0.985 -0.324 N
```

Entry 6:
# La6Tc2Br3N

A relaxed La6Tc2Br3N crystal (PBE-GGA, the Alexandria database).

Summary:
energy relative to the elements, uncorrected	-0.93	eV per atom
N(E_F)	0.430	states/eV/atom
space group	C2/m (12)

Geometry as POSCAR:
```
La6Tc2Br3N
1.0
-2.440 2.983 -5.780
-4.183 -4.127 3.705
-0.251 6.593 4.896
La Tc Br N
6 2 3 1
Cartesian
-4.992 5.635 0.927 La
-5.271 0.440 -0.639 La
-1.882 -0.186 1.894 La
-5.540 3.400 3.910 La
-1.604 5.009 3.460 La
-1.334 2.050 -1.088 La
-3.538 -1.496 0.195 Tc
-3.085 0.352 -2.270 Tc
-3.996 0.445 4.452 Br
-2.878 5.004 -1.630 Br
-3.437 2.725 1.411 Br
0.000 0.000 0.000 N
```

Entry 7:
# La2TeBr2N

A relaxed La2TeBr2N crystal (PBE-GGA, the Alexandria database).

Summary:
energy relative to the elements, uncorrected	-1.44	eV per atom
N(E_F)	0.729	states/eV/atom
space group	Pmc2_1 (26)

Geometry as POSCAR:
```
La2TeBr2N
1.0
-4.123 0.580 0.556
-1.586 -2.374 -9.282
-0.830 -7.989 2.185
La Te Br N
4 2 4 2
Cartesian
-0.967 -6.947 0.077 La
-2.796 -3.592 -1.116 La
-1.238 -3.100 -5.941 La
-3.734 -6.177 -5.374 La
-1.926 -5.861 -8.162 Te
-1.230 -5.608 -3.265 Te
-2.242 -0.517 -0.215 Br
-0.698 -2.107 -2.975 Br
-3.732 -8.420 -3.020 Br
-2.059 -8.766 -6.120 Br
-2.946 -5.622 -0.113 N
-3.441 -3.933 -5.540 N
```

Entry 8:
# LaWBrN2

A relaxed LaWBrN2 crystal (PBE-GGA, the Alexandria database).

Summary:
energy relative to the elements, uncorrected	2.52	eV per atom
N(E_F)	1.458	states/eV/atom
space group	P4/mmm (123)

Geometry as POSCAR:
```
LaWBrN2
1.0
-0.643 3.017 -2.940
-4.598 1.438 2.481
2.162 2.789 2.389
N Br W La
2 1 1 1
Cartesian
1.081 1.394 1.195 N
-0.321 1.508 -1.470 N
0.000 0.000 0.000 Br
-1.539 3.622 0.965 W
-2.299 0.719 1.240 La
```

Entry 9:
# LaZnBr2N

A relaxed LaZnBr2N crystal (PBE-GGA, the Alexandria database).

Summary:
energy relative to the elements, uncorrected	-0.22	eV per atom
N(E_F)	0.220	states/eV/atom
space group	P4/mmm (123)

Geometry as POSCAR:
```
LaZnBr2N
1.0
5.354 0.000 0.000
0.000 4.597 0.000
0.000 0.000 5.354
Zn N Br La
1 1 2 1
Cartesian
2.677 2.299 2.677 Zn
0.000 0.000 0.000 N
0.000 0.000 2.677 Br
2.677 0.000 0.000 Br
0.000 2.299 0.000 La
```

Entry 10:
# NaLaBr6

A relaxed NaLaBr6 crystal (PBE-GGA, the Alexandria database).

Summary:
energy relative to the elements, uncorrected	-1.10	eV per atom
N(E_F)	1.813	states/eV/atom
space group	Fm-3m (225)

Geometry as POSCAR:
```
NaLaBr6
1.0
-5.401 6.046 -1.812
-5.559 2.441 5.670
0.739 7.448 3.604
Na La Br
1 1 6
Cartesian
0.000 0.000 0.000 Na
-5.110 7.967 3.731 La
-8.025 8.226 3.795 Br
-5.255 7.010 0.970 Br
-4.965 8.924 6.493 Br
-2.196 7.709 3.668 Br
-5.334 5.214 4.697 Br
-4.887 10.720 2.765 Br
```

Entry 11:
# NaLa2Br

A relaxed NaLa2Br crystal (PBE-GGA, the Alexandria database).

Summary:
energy relative to the elements, uncorrected	-0.27	eV per atom
N(E_F)	1.714	states/eV/atom
ΔE to the lowest computed polymorph	141	meV/atom
space group	I-42d (122)

Geometry as POSCAR:
```
NaLa2Br
1.0
-5.105 -7.109 -2.545
7.153 -3.568 -4.381
1.918 -6.984 -0.662
Na Br La
2 2 4
Cartesian
1.024 -5.339 -3.463 Na
5.047 -7.945 -4.253 Na
0.000 0.000 0.000 Br
-1.082 -9.716 -3.335 Br
-2.093 -7.020 -2.442 La
4.588 -4.480 -3.084 La
1.819 -9.049 -2.857 La
3.617 -14.774 -6.794 La
```

Entry 12:
# Na4La2Br9

A relaxed Na4La2Br9 crystal (PBE-GGA, the Alexandria database).

Summary:
energy relative to the elements, uncorrected	-1.73	eV per atom
space group	P-1 (2)

Geometry as POSCAR:
```
Na4La2Br9
1.0
7.620 -0.003 0.015
3.806 6.603 0.040
-0.048 -0.108 20.371
Na La Br
8 4 18
Cartesian
3.759 2.095 20.072 Na
3.792 2.150 9.903 Na
7.619 4.397 0.354 Na
3.793 2.187 3.595 Na
7.586 4.341 10.523 Na
7.592 4.367 6.665 Na
3.786 2.124 13.761 Na
7.585 4.304 16.831 Na
7.602 -0.028 6.994 La
11.412 6.575 3.258 La
3.776 6.520 13.432 La
-0.034 -0.084 17.168 La
1.179 2.002 15.284 Br
4.975 4.430 15.317 Br
8.982 6.518 15.331 Br
10.199 4.490 5.142 Br
6.403 2.062 5.109 Br
2.395 -0.027 5.095 Br
8.811 6.406 8.504 Br
8.752 2.288 8.496 Br
5.222 4.397 8.479 Br
5.018 0.156 1.736 Br
4.954 4.254 1.764 Br
1.431 2.145 1.739 Br
2.567 0.086 11.921 Br
2.626 4.203 11.930 Br
6.156 2.095 11.946 Br
6.360 6.335 18.690 Br
6.424 2.237 18.661 Br
9.947 4.347 18.686 Br
```

Entry 13:
# NaLaBr2

A relaxed NaLaBr2 crystal (PBE-GGA, the Alexandria database).

Summary:
energy relative to the elements, uncorrected	-1.25	eV per atom
N(E_F)	0.422	states/eV/atom
ΔE to the lowest computed polymorph	107	meV/atom
space group	R-3m (166)

Geometry as POSCAR:
```
NaLaBr2
1.0
-1.122 7.076 6.376
1.034 4.247 8.537
3.015 6.865 5.980
Na Br La
1 2 1
Cartesian
1.463 9.094 10.446 Na
2.619 16.277 18.698 Br
0.307 1.911 2.195 Br
0.000 0.000 0.000 La
```

Entry 14:
# NaLaBr2

A relaxed NaLaBr2 crystal (PBE-GGA, the Alexandria database).

Summary:
energy relative to the elements, uncorrected	-1.28	eV per atom
N(E_F)	0.695	states/eV/atom
ΔE to the lowest computed polymorph	77	meV/atom
space group	R-3m (166)

Geometry as POSCAR:
```
NaLaBr2
1.0
-8.860 -5.631 -0.079
-6.243 -8.351 -1.226
-6.754 -7.600 2.614
Na Br La
1 2 1
Cartesian
0.000 0.000 0.000 Na
-19.696 -19.449 1.181 Br
-2.161 -2.134 0.130 Br
-10.929 -10.791 0.655 La
```

Entry 15:
# Na2LaBr6

A relaxed Na2LaBr6 crystal (PBE-GGA, the Alexandria database).

Summary:
energy relative to the elements, uncorrected	-1.48	eV per atom
N(E_F)	0.025	states/eV/atom
space group	C2/m (12)

Geometry as POSCAR:
```
Na2LaBr6
1.0
-2.179 -2.869 2.891
-0.849 -5.890 -2.794
9.030 -5.108 5.427
Na La Br
2 1 6
Cartesian
6.502 -8.433 3.913 Na
-0.499 -5.434 1.612 Na
4.091 -5.499 1.317 La
6.553 -11.288 4.809 Br
-0.550 -2.580 0.716 Br
1.726 -5.400 -0.368 Br
3.859 -8.435 1.919 Br
4.277 -8.467 5.892 Br
2.144 -5.433 3.605 Br
```

Entry 16:
# NaLa2Br

A relaxed NaLa2Br crystal (PBE-GGA, the Alexandria database).

Summary:
energy relative to the elements, uncorrected	-0.19	eV per atom
N(E_F)	0.943	states/eV/atom
ΔE to the lowest computed polymorph	219	meV/atom
space group	Fm-3m (225)

Geometry as POSCAR:
```
NaLa2Br
1.0
0.000 3.963 3.963
3.963 0.000 3.963
3.963 3.963 0.000
Na Br La
1 1 2
Cartesian
0.000 0.000 0.000 Na
3.963 3.963 3.963 Br
1.981 1.981 1.981 La
5.944 5.944 5.944 La
```

Entry 17:
# NaLaBr2

A relaxed NaLaBr2 crystal (PBE-GGA, the Alexandria database).

Summary:
energy relative to the elements, uncorrected	-1.06	eV per atom
N(E_F)	0.525	states/eV/atom
ΔE to the lowest computed polymorph	299	meV/atom
space group	I-42d (122)

Geometry as POSCAR:
```
NaLaBr2
1.0
7.076 0.000 0.000
0.000 7.076 0.000
3.538 3.538 6.201
Na Br La
2 4 2
Cartesian
3.538 3.538 0.000 Na
3.538 7.076 3.101 Na
5.110 1.769 1.550 Br
1.966 5.307 1.550 Br
5.307 5.504 4.651 Br
8.845 8.648 4.651 Br
0.000 0.000 0.000 La
7.076 3.538 3.101 La
```

Entry 18:
# Na2LaBr4

A relaxed Na2LaBr4 crystal (PBE-GGA, the Alexandria database).

Summary:
energy relative to the elements, uncorrected	-1.60	eV per atom
N(E_F)	0.409	states/eV/atom
space group	Imma (74)

Geometry as POSCAR:
```
Na2LaBr4
1.0
7.784 0.000 0.000
3.892 8.089 0.170
3.892 2.794 7.593
Na La Br
4 2 8
Cartesian
3.892 2.716 4.737 Na
3.892 0.000 0.000 Na
7.784 5.441 3.882 Na
11.677 8.167 3.026 Na
1.946 4.044 0.085 La
5.838 4.044 0.085 La
3.892 2.433 1.864 Br
7.784 7.996 5.575 Br
5.872 4.380 5.924 Br
9.697 4.380 5.924 Br
5.872 6.503 1.839 Br
7.784 2.887 2.188 Br
9.697 6.503 1.839 Br
11.677 8.450 5.899 Br
```

Entry 19:
# NaLa2Br

A relaxed NaLa2Br crystal (PBE-GGA, the Alexandria database).

Summary:
energy relative to the elements, uncorrected	-0.41	eV per atom
N(E_F)	1.336	states/eV/atom
ΔE to the lowest computed polymorph	0	meV/atom
space group	R-3m (166)

Geometry as POSCAR:
```
NaLa2Br
1.0
3.658 0.000 0.000
1.829 3.168 0.000
1.829 1.056 12.231
Na Br La
1 1 2
Cartesian
0.000 0.000 0.000 Na
3.658 2.112 6.116 Br
1.829 1.056 8.554 La
5.487 3.168 3.678 La
```

Entry 20:
# NaLaBr3

A relaxed NaLaBr3 crystal (PBE-GGA, the Alexandria database).

Summary:
energy relative to the elements, uncorrected	-1.43	eV per atom
N(E_F)	1.046	states/eV/atom
ΔE to the lowest computed polymorph	0	meV/atom
space group	Pm-3m (221)

Geometry as POSCAR:
```
NaLaBr3
1.0
-2.192 -5.168 1.861
4.267 -0.340 4.081
-3.459 2.856 3.854
Na Br La
1 3 1
Cartesian
-0.692 -1.326 4.899 Na
2.133 -0.170 2.041 Br
-1.730 1.428 1.927 Br
-1.096 -2.584 0.931 Br
0.000 0.000 0.000 La
```

Entry 21:
# Na2La2Br

A relaxed Na2La2Br crystal (PBE-GGA, the Alexandria database).

Summary:
energy relative to the elements, uncorrected	-0.28	eV per atom
N(E_F)	2.219	states/eV/atom
space group	P4/mbm (127)

Geometry as POSCAR:
```
Na2La2Br
1.0
7.781 0.000 0.000
0.000 7.781 0.000
0.000 0.000 6.386
Na Br La
4 2 4
Cartesian
1.217 5.107 3.193 Na
5.107 6.564 3.193 Na
6.564 2.673 3.193 Na
2.673 1.217 3.193 Na
0.000 0.000 0.000 Br
3.890 3.890 0.000 Br
2.770 6.660 0.000 La
6.660 5.011 0.000 La
5.011 1.121 0.000 La
1.121 2.770 0.000 La
```

Entry 22:
# Na3LaBr

A relaxed Na3LaBr crystal (PBE-GGA, the Alexandria database).

Summary:
energy relative to the elements, uncorrected	-0.08	eV per atom
N(E_F)	0.872	states/eV/atom
space group	Pm-3m (221)

Geometry as POSCAR:
```
Na3LaBr
1.0
5.644 0.000 0.000
0.000 5.644 0.000
0.000 0.000 5.644
Na Br La
3 1 1
Cartesian
0.000 2.822 0.000 Na
0.000 0.000 2.822 Na
2.822 0.000 0.000 Na
0.000 0.000 0.000 Br
2.822 2.822 2.822 La
```

Entry 23:
# NaLaBr2

A relaxed NaLaBr2 crystal (PBE-GGA, the Alexandria database).

Summary:
energy relative to the elements, uncorrected	-1.04	eV per atom
N(E_F)	0.897	states/eV/atom
ΔE to the lowest computed polymorph	318	meV/atom
space group	Fm-3m (225)

Geometry as POSCAR:
```
NaLaBr2
1.0
5.133 0.075 1.652
1.609 -3.298 3.951
3.252 -4.155 -1.113
Na Br La
1 2 1
Cartesian
0.000 0.000 0.000 Na
2.499 -1.845 1.123 Br
7.496 -5.534 3.368 Br
4.997 -3.689 2.245 La
```

Entry 24:
# NaLaBr2

A relaxed NaLaBr2 crystal (PBE-GGA, the Alexandria database).

Summary:
energy relative to the elements, uncorrected	-1.36	eV per atom
N(E_F)	0.334	states/eV/atom
ΔE to the lowest computed polymorph	0	meV/atom
space group	R3m (160)

Geometry as POSCAR:
```
NaLaBr2
1.0
3.928 0.000 0.000
1.964 3.402 0.000
1.964 1.134 8.427
Na La Br
1 1 2
Cartesian
5.892 3.402 8.411 Na
3.928 2.268 4.220 La
1.964 1.134 6.532 Br
1.964 1.134 1.904 Br
```

Entry 25:
# NaLaBr3

A relaxed NaLaBr3 crystal (PBE-GGA, the Alexandria database).

Summary:
energy relative to the elements, uncorrected	-1.19	eV per atom
N(E_F)	1.670	states/eV/atom
ΔE to the lowest computed polymorph	241	meV/atom
space group	Pm-3m (221)

Geometry as POSCAR:
```
NaLaBr3
1.0
-4.427 -2.883 -0.195
1.295 -2.299 4.580
-2.583 3.788 2.631
Na Br La
1 3 1
Cartesian
0.000 0.000 0.000 Na
0.648 -1.149 2.290 Br
-1.291 1.894 1.316 Br
-2.213 -1.441 -0.097 Br
-2.857 -0.697 3.508 La
```